This record from Alexandria via LeMat-Bulk describes Pm9Er2In after structural relaxation. The functional is PBE.

abc: 5.033 5.033 15.366
angles: 90.00 90.00 90.00
Space group P4/mmm (No. 123)
Unique sites:
1 Pm 0.000 0.000 0.000 x1
2 Pm 0.000 0.000 0.331 x2
3 Pm 0.000 0.500 0.162 x4
4 Pm 0.000 0.500 0.500 x2
5 Er 0.500 0.500 0.332 x2
6 In 0.500 0.500 0.000 x1

## Properties
spin magnetization	0.00	μB/atom
volume	32.437	A^3/atom
DFT total energy	-0.1699	hartree per atom
crystal system	tetragonal
ρ	7.48	g/cm³
ΔH_f (0 K)	-71	meV/atom

This record from Alexandria via LeMat-Bulk describes ZnCo2Ni after structural relaxation. The functional is PBE.

abc: 4.939 7.466 2.512
angles: 90.00 90.00 90.00
Space group Cmmm (No. 65)
Unique sites:
1 Zn 0.000 0.000 0.000 x2
2 Co 0.250 0.250 0.500 x4
3 Ni 0.000 0.500 0.000 x2

## Properties
spin magnetization	0.91	μB/atom
volume	11.578	A^3/atom
DFT total energy	-0.1938	hartree per atom
crystal system	orthorhombic
ρ	8.68	g/cm³
ΔH_f (0 K)	43	meV/atom